Record 1
Below is an optimized crystal structure of K2RbCrNi, with properties calculated at the GGA-PBEsol level.

Its magnetic moment is 5.23 μB per cell. The uncorrected energy comes out at -12.261 eV for the cell shown.

The structure belongs to space group P4/mmm (No. 123); the cell edges are 6.5827, 6.5827 and 4.8947 Å and the angles 90.00°, 90.00° and 90.00°. The inequivalent atoms are K at (0.0000, 0.5000, 0.0000), Rb at (0.0000, 0.0000, 0.0000), Cr at (0.5000, 0.5000, 0.5000) and Ni at (0.0000, 0.0000, 0.5000).

Record 2
Below is an optimized crystal structure of CoBrN2, with properties calculated at the GGA-PBEsol level.

Its magnetic moment is 6.09 μB per cell. The uncorrected formation energy comes out at 2.1074 eV per atom. The uncorrected energy comes out at -72.924 eV for the cell shown.

The structure belongs to space group Fm-3m (No. 225); the cell edges are 5.4208, 5.4208 and 5.4208 Å and the angles 90.00°, 90.00° and 90.00°. The inequivalent atoms are Co at (0.0000, 0.0000, 0.0000), Br at (0.0000, 0.0000, 0.5000) and N at (0.2500, 0.2500, 0.2500).

Record 3
Below is an optimized crystal structure of ZnCuNi2, with properties calculated at the GGA-PBEsol level.

Its magnetic moment is 0.00 μB per cell. The uncorrected energy comes out at -18.679 eV for the cell shown.

The structure belongs to space group Pm (No. 6); the cell edges are 2.6322, 4.0544 and 4.1454 Å and the angles 90.00°, 90.28° and 90.00°. The inequivalent atoms are Zn at (0.0000, 0.0000, 0.0000), Cu at (0.9988, 0.5000, 0.3906), Ni at (0.4994, 0.5000, 0.8844) and Ni at (0.5001, 0.0000, 0.5010).

Record 4
Below is an optimized crystal structure of ReHSeN2, with properties calculated at the GGA-PBEsol level.

Its magnetic moment is 0.08 μB per cell. The uncorrected energy comes out at -33.646 eV for the cell shown.

The structure belongs to space group P4/mmm (No. 123); the cell edges are 3.7516, 3.7516 and 5.1250 Å and the angles 90.00°, 90.00° and 90.00°. The inequivalent atoms are Re at (0.0000, 0.0000, 0.0000), H at (0.5000, 0.5000, 0.5000), Se at (0.0000, 0.0000, 0.5000) and N at (0.0000, 0.5000, 0.0000).

Record 5
Below is an optimized crystal structure of BeW2Cl, with properties calculated at the GGA-PBEsol level.

Its magnetic moment is 0.00 μB per cell. The uncorrected formation energy comes out at 0.6125 eV per atom. The uncorrected energy comes out at -93.518 eV for the cell shown.

The structure belongs to space group R-3m (No. 166, hexagonal axes); the cell edges are 2.8018, 2.8018 and 24.5772 Å and the angles 90.00°, 90.00° and 120.00°. The inequivalent atoms are Be at (0.0000, 0.0000, 0.0000), W at (0.0000, 0.0000, 0.2515) and Cl at (0.0000, 0.0000, 0.5000).

Record 6
Below is an optimized crystal structure of MgFe2BPd, with properties calculated at the GGA-PBEsol level.

Its magnetic moment is 5.52 μB per cell. The uncorrected energy comes out at -21.763 eV for the cell shown.

The structure belongs to space group P4/mmm (No. 123); the cell edges are 4.3625, 4.3625 and 4.4100 Å and the angles 90.00°, 90.00° and 90.00°. The inequivalent atoms are Mg at (0.0000, 0.0000, 0.0000), Fe at (0.0000, 0.5000, 0.0000), B at (0.5000, 0.5000, 0.5000) and Pd at (0.0000, 0.0000, 0.5000).